# NaSrTbPb

A relaxed NaSrTbPb crystal (GGA-PBE, Alexandria via LeMat-Bulk).

Computed properties:
- Energy: -3.021 eV per atom
- N(E_F): 0.567 states/eV per atom
- Spin magnetization: 0.000 μB/f.u.
- Space-group type: F-43m (216)
- Crystal system: cubic

a b c (Å): 5.656 5.656 5.656
angles (deg): 60.00 60.00 60.00
Fractional positions:
1 Na 0.000 0.000 0.000
2 Sr 0.250 0.250 0.250
3 Tb 0.750 0.750 0.750
4 Pb 0.500 0.500 0.500